PBE As2OsBr, relaxed; SG = Fm-3m, No. 225; raw formation energy = 992 meV per atom; offset from the most stable computed form = 0.921 eV/atom
1.0
2.747 2.826 2.475
-1.700 3.974 1.724
-0.657 0.455 4.585
As Os Br
2 1 1
Direct
0.750 0.750 0.750 As
0.250 0.250 0.250 As
0.500 0.500 0.500 Os
0.000 0.000 0.000 Br

PBE InPSe, relaxed; SG = F-43m, No. 216; raw formation energy = 363 meV per atom; offset from the most stable computed form = 0.467 eV/atom
1.0
3.379 0.958 3.044
-1.064 1.021 4.407
0.998 -3.018 3.390
P In Se
1 1 1
Direct
0.250 0.250 0.250 P
0.500 0.500 0.500 In
0.000 0.000 0.000 Se

PBE Er2BeGaC, relaxed; SG = P2_1/m, No. 11; E_form = -0.4253 eV/atom
1.0
-0.437 0.718 -3.477
2.384 -5.835 -1.503
-8.168 -0.592 0.904
Er C Be Ga
4 2 2 2
Direct
0.750 0.788 0.029 Er
0.250 0.199 0.380 Er
0.250 0.212 0.971 Er
0.750 0.801 0.620 Er
0.750 0.174 0.171 C
0.250 0.826 0.829 C
0.250 0.553 0.755 Be
0.750 0.447 0.245 Be
0.750 0.308 0.697 Ga
0.250 0.692 0.303 Ga

PBE Nd2Ho3Tm4, relaxed; SG = C2/c, No. 15; E_form = 0.0980 eV/atom
1.0
5.764 1.614 1.156
2.305 10.929 0.733
2.305 4.216 10.110
Nd Ho Tm
4 6 8
Direct
0.075 0.478 0.769 Nd
0.925 0.522 0.231 Nd
0.575 0.769 0.478 Nd
0.425 0.231 0.522 Nd
0.250 0.598 0.402 Ho
0.750 0.402 0.598 Ho
0.272 0.262 0.066 Ho
0.772 0.066 0.262 Ho
0.728 0.738 0.934 Ho
0.228 0.934 0.738 Ho
0.923 0.186 0.907 Tm
0.414 0.579 0.855 Tm
0.423 0.907 0.186 Tm
0.577 0.093 0.814 Tm
0.586 0.421 0.145 Tm
0.077 0.814 0.093 Tm
0.086 0.145 0.421 Tm
0.914 0.855 0.579 Tm